Below is YCd2In at its PBEsol-relaxed geometry, with properties calculated at the meta-GGA SCAN level.

Properties
- DFT total energy (eV/cell) = -123.305

Cell: 5.381 5.381 5.381 Å, 128.73 128.73 75.44°
Atoms (fractional coordinates):
Y 0.000 0.000 0.000
Cd 0.250 0.750 0.500
Cd 0.500 0.500 0.000
In 0.750 0.250 0.500


Below is Zn2FeSe at its PBEsol-relaxed geometry, with properties calculated at the meta-GGA SCAN level.

Properties
- ΔE_f (raw) (eV/atom) = 0.23

Cell: 2.837 5.033 4.165 Å, 90.00 92.91 90.00°
Atoms (fractional coordinates):
Zn 0.247 0.000 0.256
Zn 0.753 0.000 0.744
Fe 0.500 0.500 0.500
Se 0.000 0.500 0.000